# 1
DFT (PBE-GGA) results for crystalline NaSnF2 at its relaxed geometry.

POSCAR file:
```
NaSnF2
1.0
-5.749 -0.126 0.455
-0.178 -4.571 -3.515
-2.601 -5.271 2.252
Na Sn F
2 2 4
direct
0.500 0.500 0.000
0.250 0.750 0.500
0.000 0.000 0.000
0.750 0.250 0.500
0.576 0.125 0.250
0.174 0.625 0.250
0.375 0.424 0.750
0.875 0.826 0.750
```

## Properties
Energy relative to the elements, uncorrected, eV/atom: -1.815
Size of the total moment, μB/f.u.: 0.7

---

# 2
DFT (PBE-GGA) results for crystalline NaSnF2 at its relaxed geometry.

POSCAR file:
```
NaSnF2
1.0
1.935 0.000 7.029
-0.968 1.676 7.029
-0.968 -1.676 7.029
Na Sn F
1 1 2
direct
0.500 0.500 0.500
0.000 0.000 0.000
0.894 0.894 0.894
0.106 0.106 0.106
```

## Properties
Energy relative to the elements, uncorrected, eV/atom: -2.176
Size of the total moment, μB/f.u.: 0.0

---

# 3
DFT (PBE-GGA) results for crystalline Na3Sn5F12 at its relaxed geometry.

POSCAR file:
```
Na3Sn5F12
1.0
-0.547 -8.314 9.821
0.448 -6.502 -11.109
10.553 7.296 1.133
Na Sn F
12 20 48
direct
0.750 0.375 0.125
0.875 0.750 0.125
0.375 0.750 0.625
0.250 0.125 0.375
0.875 0.125 0.250
0.375 0.625 0.250
0.625 0.375 0.750
0.125 0.875 0.750
0.750 0.875 0.625
0.625 0.250 0.375
0.125 0.250 0.875
0.250 0.625 0.875
0.125 0.375 0.250
0.000 0.500 0.000
0.000 0.000 0.000
0.375 0.250 0.125
0.500 0.000 0.500
0.500 0.500 0.000
0.125 0.750 0.375
0.750 0.125 0.875
0.750 0.625 0.375
0.375 0.125 0.750
0.625 0.875 0.250
0.500 0.500 0.500
0.500 0.000 0.000
0.000 0.000 0.500
0.250 0.375 0.625
0.250 0.875 0.125
0.000 0.500 0.500
0.875 0.250 0.625
0.625 0.750 0.875
0.875 0.625 0.750
0.687 0.157 0.026
0.339 0.526 0.369
0.974 0.343 0.313
0.526 0.187 0.157
0.530 0.687 0.661
0.974 0.631 0.161
0.339 0.813 0.470
0.131 0.970 0.157
0.631 0.974 0.661
0.687 0.530 0.161
0.813 0.474 0.343
0.839 0.869 0.026
0.157 0.687 0.526
0.343 0.369 0.030
0.030 0.869 0.343
0.470 0.157 0.631
0.030 0.161 0.187
0.474 0.661 0.131
0.839 0.970 0.313
0.157 0.470 0.131
0.343 0.974 0.813
0.631 0.657 0.470
0.869 0.839 0.526
0.813 0.339 0.970
0.369 0.343 0.530
0.131 0.161 0.474
0.187 0.661 0.030
0.161 0.030 0.687
0.657 0.026 0.187
0.843 0.530 0.869
0.526 0.339 0.869
0.530 0.843 0.369
0.970 0.839 0.813
0.970 0.131 0.657
0.843 0.313 0.474
0.161 0.131 0.974
0.657 0.631 0.970
0.369 0.026 0.339
0.313 0.470 0.839
0.187 0.526 0.657
0.869 0.030 0.843
0.661 0.187 0.530
0.474 0.813 0.843
0.026 0.369 0.839
0.470 0.313 0.339
0.026 0.657 0.687
0.661 0.474 0.631
0.313 0.843 0.974
```

## Properties
Energy relative to the elements, uncorrected, eV/atom: -2.155
Size of the total moment, μB/f.u.: 1.1

---

# 4
DFT (PBE-GGA) results for crystalline NaSn2F11 at its relaxed geometry.

POSCAR file:
```
NaSn2F11
1.0
7.341 0.000 3.826
3.506 7.759 2.229
0.084 -0.378 8.793
Na Sn F
2 4 22
direct
0.750 0.750 0.750
0.250 0.250 0.250
0.628 0.751 0.249
0.372 0.249 0.751
0.872 0.251 0.749
0.128 0.749 0.251
0.493 0.747 0.506
0.507 0.253 0.494
0.254 0.506 0.747
0.007 0.994 0.753
0.746 0.494 0.253
0.993 0.006 0.247
0.246 0.753 0.994
0.754 0.247 0.006
0.500 0.500 0.500
0.000 0.000 0.000
0.877 0.734 0.266
0.123 0.266 0.734
0.623 0.234 0.766
0.377 0.766 0.234
0.506 0.002 0.256
0.494 0.998 0.744
0.236 0.256 0.002
0.994 0.244 0.498
0.764 0.744 0.998
0.006 0.756 0.502
0.264 0.498 0.244
0.736 0.502 0.756
```

## Properties
Energy relative to the elements, uncorrected, eV/atom: -2.082
Size of the total moment, μB/f.u.: 2.1

---

# 5
DFT (PBE-GGA) results for crystalline NaSnF4 at its relaxed geometry.

POSCAR file:
```
NaSnF4
1.0
0.784 -2.065 -5.072
-3.108 -4.313 1.466
-3.328 5.824 0.036
Na Sn F
2 2 8
direct
0.360 0.610 0.219
0.640 0.390 0.781
0.879 0.129 0.259
0.121 0.871 0.741
0.241 0.071 0.549
0.012 0.796 0.041
0.192 0.522 0.451
0.471 0.754 0.959
0.759 0.929 0.451
0.808 0.478 0.549
0.988 0.204 0.959
0.529 0.246 0.041
```

## Properties
Energy relative to the elements, uncorrected, eV/atom: -2.453
Size of the total moment, μB/f.u.: 0.0

---

# 6
DFT (PBE-GGA) results for crystalline Na2SnF at its relaxed geometry.

POSCAR file:
```
Na2SnF
1.0
3.088 0.000 0.000
0.000 3.088 0.000
0.000 0.000 7.987
Na Sn F
2 1 1
direct
0.000 0.000 0.824
0.000 0.000 0.176
0.500 0.500 0.500
0.500 0.500 0.000
```

## Properties
Energy relative to the elements, uncorrected, eV/atom: -1.324
Size of the total moment, μB/f.u.: 0.0

---

# 7
DFT (PBE-GGA) results for crystalline NaSnF3 at its relaxed geometry.

POSCAR file:
```
NaSnF3
1.0
-0.743 4.711 4.101
-5.003 3.797 -0.450
-4.388 -0.093 4.123
Na Sn F
2 2 6
direct
0.366 0.366 0.902
0.634 0.634 0.098
0.865 0.864 0.406
0.135 0.136 0.594
0.715 0.531 0.713
0.040 0.716 0.714
0.531 0.040 0.713
0.285 0.469 0.287
0.960 0.284 0.286
0.469 0.960 0.287
```

## Properties
Energy relative to the elements, uncorrected, eV/atom: -2.475
Size of the total moment, μB/f.u.: 0.0

---

# 8
DFT (PBE-GGA) results for crystalline Na2SnF at its relaxed geometry.

POSCAR file:
```
Na2SnF
1.0
-0.911 -5.576 3.666
5.802 1.166 3.215
0.334 0.097 6.417
Na Sn F
4 2 2
direct
0.490 0.125 0.250
0.260 0.625 0.250
0.375 0.510 0.750
0.875 0.740 0.750
0.000 0.000 0.000
0.750 0.250 0.500
0.500 0.500 0.000
0.250 0.750 0.500
```

## Properties
Energy relative to the elements, uncorrected, eV/atom: -1.200
Size of the total moment, μB/f.u.: 0.0

---

# 9
DFT (PBE-GGA) results for crystalline Na3SnF7 at its relaxed geometry.

POSCAR file:
```
Na3SnF7
1.0
4.941 -0.074 2.387
-1.207 4.792 2.387
-0.306 -0.386 6.232
Na Sn F
3 1 7
direct
0.775 0.239 0.490
0.484 0.484 0.051
0.239 0.775 0.490
0.957 0.957 0.024
0.144 0.144 0.165
0.646 0.104 0.225
0.982 0.328 0.748
0.104 0.646 0.225
0.626 0.626 0.292
0.328 0.982 0.748
0.842 0.842 0.792
```

## Properties
Energy relative to the elements, uncorrected, eV/atom: -2.681
Size of the total moment, μB/f.u.: 0.0

---

# 10
DFT (PBE-GGA) results for crystalline NaSnF2 at its relaxed geometry.

POSCAR file:
```
NaSnF2
1.0
5.996 0.000 0.000
0.000 7.920 -0.993
0.000 -4.678 6.467
Na Sn F
4 4 8
direct
0.250 0.066 0.935
0.250 0.566 0.435
0.750 0.934 0.065
0.750 0.434 0.565
0.766 0.412 0.088
0.266 0.088 0.412
0.234 0.588 0.912
0.734 0.912 0.588
0.353 0.929 0.571
0.057 0.735 0.765
0.853 0.571 0.929
0.647 0.071 0.429
0.943 0.265 0.235
0.557 0.765 0.735
0.443 0.235 0.265
0.147 0.429 0.071
```

## Properties
Energy relative to the elements, uncorrected, eV/atom: -2.062
Size of the total moment, μB/f.u.: 0.0

---

# 11
DFT (PBE-GGA) results for crystalline Na3SnF at its relaxed geometry.

POSCAR file:
```
Na3SnF
1.0
4.798 0.000 0.000
0.000 4.798 0.000
0.000 0.000 4.798
Na Sn F
3 1 1
direct
0.000 0.500 0.000
0.000 0.000 0.500
0.500 0.000 0.000
0.500 0.500 0.500
0.000 0.000 0.000
```

## Properties
Energy relative to the elements, uncorrected, eV/atom: -1.082
Size of the total moment, μB/f.u.: 0.0

---

# 12
DFT (PBE-GGA) results for crystalline Na2Sn3F8 at its relaxed geometry.

POSCAR file:
```
Na2Sn3F8
1.0
-1.589 -1.073 -3.981
9.874 -5.160 -4.851
-4.783 -2.402 2.913
Na Sn F
2 3 8
direct
0.408 0.640 0.429
0.607 0.437 0.636
0.368 0.054 0.088
0.071 0.304 0.944
0.829 0.769 0.166
0.387 0.304 0.696
0.869 0.583 0.146
0.143 0.874 0.770
0.949 0.205 0.250
0.325 0.689 0.082
0.363 0.418 0.281
0.797 0.625 0.712
0.384 0.097 0.799
```

## Properties
Energy relative to the elements, uncorrected, eV/atom: -2.409
Size of the total moment, μB/f.u.: 0.0

---

# 13
DFT (PBE-GGA) results for crystalline NaSnF3 at its relaxed geometry.

POSCAR file:
```
NaSnF3
1.0
-4.663 0.120 -0.379
0.377 -0.054 -4.664
-0.124 -4.678 0.044
Na Sn F
1 1 3
direct
0.500 0.500 0.500
0.000 0.000 0.000
0.000 0.500 0.000
0.000 0.000 0.500
0.500 0.000 0.000
```

## Properties
Energy relative to the elements, uncorrected, eV/atom: -2.226
Size of the total moment, μB/f.u.: 0.0

---

# 14
DFT (PBE-GGA) results for crystalline Na2SrSnF8 at its relaxed geometry.

POSCAR file:
```
Na2SrSnF8
1.0
4.384 -0.081 -0.002
-0.045 5.534 -0.006
0.004 0.008 7.527
Na Sr Sn F
2 1 1 8
direct
0.500 0.500 0.743
0.500 0.500 0.257
0.000 0.000 0.500
0.000 0.000 0.000
0.123 0.785 0.204
0.632 0.779 0.000
0.877 0.215 0.204
0.877 0.215 0.796
0.368 0.221 0.000
0.123 0.785 0.796
0.548 0.749 0.500
0.452 0.251 0.500
```

## Properties
Energy relative to the elements, uncorrected, eV/atom: -2.937
Size of the total moment, μB/f.u.: 0.0

---

# 15
DFT (PBE-GGA) results for crystalline Na2SrSnF at its relaxed geometry.

POSCAR file:
```
Na2SrSnF
1.0
-3.778 -1.390 2.895
2.539 -4.030 1.378
2.009 2.587 3.864
Sr F Sn Na
1 1 1 2
direct
0.000 0.000 0.500
0.000 0.000 0.000
0.500 0.500 0.500
0.000 0.500 0.000
0.500 0.000 0.000
```

## Properties
Energy relative to the elements, uncorrected, eV/atom: -1.306
Size of the total moment, μB/f.u.: 0.0

---

# 16
DFT (PBE-GGA) results for crystalline Na2TlSnF at its relaxed geometry.

POSCAR file:
```
Na2TlSnF
1.0
6.147 0.000 0.000
0.000 4.615 0.000
0.000 0.000 6.147
Na Tl Sn F
2 1 1 1
direct
0.000 0.000 0.500
0.500 0.000 0.000
0.000 0.000 0.000
0.500 0.500 0.500
0.000 0.500 0.000
```

## Properties
Energy relative to the elements, uncorrected, eV/atom: -0.295
Size of the total moment, μB/f.u.: 0.0

---

# 17
DFT (PBE-GGA) results for crystalline NaTlSnF6 at its relaxed geometry.

POSCAR file:
```
NaTlSnF6
1.0
5.925 0.003 0.001
2.965 5.130 -0.001
0.001 -0.002 5.737
Na Tl Sn F
1 1 1 6
direct
0.667 0.667 0.500
0.000 0.000 0.000
0.333 0.333 0.500
0.043 0.354 0.303
0.354 0.043 0.697
0.603 0.354 0.697
0.042 0.604 0.696
0.354 0.603 0.303
0.604 0.042 0.304
```

## Properties
Energy relative to the elements, uncorrected, eV/atom: -2.496
Size of the total moment, μB/f.u.: 0.0

---

# 18
DFT (PBE-GGA) results for crystalline Na2TlSnF at its relaxed geometry.

POSCAR file:
```
Na2TlSnF
1.0
-3.316 -3.064 0.347
2.979 -3.315 -0.798
1.008 -0.452 5.642
Na Tl Sn F
2 1 1 1
direct
0.000 0.500 0.000
0.500 0.000 0.000
0.000 0.000 0.500
0.500 0.500 0.500
0.000 0.000 0.000
```

## Properties
Energy relative to the elements, uncorrected, eV/atom: -0.997
Size of the total moment, μB/f.u.: 0.0